Entry 1:
Material: RbAcSn
Method: DFT, PBE
State: optimized geometry

Output
D(E_F), states/eV per cell: 0.1
Volume, Å³/atom: 40.24
Formation enthalpy at 0 K, kJ/mol of atoms: -6.2
Total energy, eV per atom: -3.091

The structure in CIF format:
```
data_RbAcSn
_symmetry_space_group_name_H-M 'P 3 m 1'
_symmetry_Int_Tables_number 156
_cell_length_a 5.8066
_cell_length_b 5.8066
_cell_length_c 4.1346
_cell_angle_alpha 90.00
_cell_angle_beta 90.00
_cell_angle_gamma 120.00
loop_
_symmetry_equiv_pos_as_xyz
'x,y,z'
'-y,x-y,z'
'-x+y,-x,z'
'-y,-x,z'
'-x+y,y,z'
'x,x-y,z'
loop_
_atom_site_label
_atom_site_type_symbol
_atom_site_fract_x
_atom_site_fract_y
_atom_site_fract_z
_atom_site_occupancy
Rb1 Rb 0.0000 0.0000 0.0000 1
Ac1 Ac 0.6667 0.3333 0.4119 1
Sn1 Sn 0.3333 0.6667 0.6139 1
```

Entry 2:
Material: LaMg2Cu
Method: DFT, PBE
State: optimized geometry

Output
D(E_F), states/eV per cell: 2.5
Volume, Å³/atom: 24.97
Formation enthalpy at 0 K, kJ/mol of atoms: 0.0
Total energy, eV per atom: -3.053

The structure in CIF format:
```
data_LaMg2Cu
_symmetry_space_group_name_H-M 'P 1 2/m 1'
_symmetry_Int_Tables_number 10
_cell_length_a 4.183
_cell_length_b 4.729
_cell_length_c 5.311
_cell_angle_alpha 90.00
_cell_angle_beta 108.10
_cell_angle_gamma 90.00
loop_
_symmetry_equiv_pos_as_xyz
'x,y,z'
'-x,-y,-z'
'-x,y,-z'
'x,-y,z'
loop_
_atom_site_label
_atom_site_type_symbol
_atom_site_fract_x
_atom_site_fract_y
_atom_site_fract_z
_atom_site_occupancy
La1 La 0.000 0.000 0.000 1
Mg1 Mg 0.349 0.500 0.702 1
Cu1 Cu 0.500 0.000 0.500 1
```

Entry 3:
Material: Rb3Pm2NpO6
Method: DFT, PBE
State: optimized geometry

Output
D(E_F), states/eV per cell: 16.5
Volume, Å³/atom: 18.77
Raw formation energy, meV per atom: -2434
Total energy, eV per atom: -7.025

The structure in CIF format:
```
data_Rb3Pm2NpO6
_symmetry_space_group_name_H-M 'C 1 2/m 1'
_symmetry_Int_Tables_number 12
_cell_length_a 6.277
_cell_length_b 10.872
_cell_length_c 6.925
_cell_angle_alpha 90.00
_cell_angle_beta 107.60
_cell_angle_gamma 90.00
loop_
_symmetry_equiv_pos_as_xyz
'x,y,z'
'-x,-y,-z'
'-x,y,-z'
'x,-y,z'
'x+1/2,y+1/2,z'
'-x+1/2,-y+1/2,-z'
'-x+1/2,y+1/2,-z'
'x+1/2,-y+1/2,z'
loop_
_atom_site_label
_atom_site_type_symbol
_atom_site_fract_x
_atom_site_fract_y
_atom_site_fract_z
_atom_site_occupancy
Rb1 Rb 0.000 0.000 0.000 1
Rb2 Rb 0.000 0.333 0.000 1
Pm1 Pm 0.000 0.167 0.500 1
Np1 Np 0.000 0.500 0.500 1
O1 O 0.222 0.337 0.677 1
O2 O 0.234 0.000 0.678 1
```

Entry 4:
Material: FeTcSn2
Method: DFT, PBE
State: optimized geometry

Output
D(E_F), states/eV per cell: 18.9
Volume, Å³/atom: 19.41
Formation enthalpy at 0 K, kJ/mol of atoms: 67.1
Total energy, eV per atom: -6.014

The structure in CIF format:
```
data_FeTcSn2
_symmetry_space_group_name_H-M 'I -4 2 d'
_symmetry_Int_Tables_number 122
_symmetry_space_group_name_Hall 'I -4 2bw'
_cell_length_a 7.267
_cell_length_b 7.267
_cell_length_c 5.882
_cell_angle_alpha 90.00
_cell_angle_beta 90.00
_cell_angle_gamma 90.00
loop_
_atom_site_label
_atom_site_type_symbol
_atom_site_fract_x
_atom_site_fract_y
_atom_site_fract_z
_atom_site_occupancy
Fe1 Fe 0.000 0.000 0.000 1
Tc1 Tc 0.000 0.000 0.500 1
Sn1 Sn 0.235 0.250 0.125 1
```